No. 1
Entry from Alexandria via LeMat-Bulk: crystalline V3SO at its relaxed geometry (GGA+U).

Properties
- electronic total energy (eV for the cell shown) = -29.7

```
V3SO
1.0
3.9720 0.0000 0.0000
0.0000 3.9720 0.0000
0.0000 0.0000 3.9720
V S O
3 1 1
Direct
0.0000 0.0000 0.5000
0.0000 0.5000 0.0000
0.5000 0.0000 0.0000
0.5000 0.5000 0.5000
0.0000 0.0000 0.0000
```

No. 2
Entry from Alexandria via LeMat-Bulk: crystalline VS3O12 at its relaxed geometry (GGA+U).

Properties
- electronic total energy (eV for the cell shown) = -196.5

```
VS3O12
1.0
5.0724 0.0000 0.0000
1.8219 9.8224 0.0000
1.8883 3.4797 10.2288
V S O
2 6 24
Direct
0.2453 0.2764 0.2030
0.7547 0.7236 0.7970
0.1521 0.2073 0.7892
0.1766 0.6773 0.0109
0.3246 0.7194 0.6171
0.6754 0.2806 0.3829
0.8234 0.3227 0.9891
0.8479 0.7927 0.2108
0.0411 0.1842 0.6865
0.0810 0.2719 0.0483
0.0917 0.6583 0.7269
0.1542 0.7549 0.1152
0.2246 0.5238 0.0710
0.2680 0.1096 0.2817
0.2832 0.3347 0.7537
0.2831 0.8743 0.5729
0.2871 0.0790 0.8771
0.3504 0.6480 0.5210
0.4025 0.7382 0.9160
0.4329 0.3417 0.3028
0.5671 0.6583 0.6972
0.5975 0.2618 0.0840
0.6496 0.3520 0.4790
0.7129 0.9210 0.1229
0.7169 0.1257 0.4271
0.7168 0.6653 0.2463
0.7320 0.8904 0.7183
0.7754 0.4762 0.9290
0.8458 0.2451 0.8848
0.9083 0.3417 0.2731
0.9190 0.7281 0.9517
0.9589 0.8158 0.3135
```

No. 3
Entry from Alexandria via LeMat-Bulk: crystalline VSO at its relaxed geometry (GGA+U).

Properties
- electronic total energy (eV for the cell shown) = -77.8

```
VSO
1.0
14.2645 0.0000 0.0000
0.0000 2.9823 0.0000
0.0000 0.0000 5.1485
V S O
4 4 4
Direct
0.2469 0.2500 0.1613
0.2531 0.7500 0.6613
0.7469 0.2500 0.3387
0.7531 0.7500 0.8387
0.1308 0.7500 0.9934
0.3692 0.2500 0.4934
0.6308 0.7500 0.5066
0.8692 0.2500 0.0066
0.1824 0.2500 0.4945
0.3176 0.7500 0.9945
0.6824 0.2500 0.0055
0.8176 0.7500 0.5055
```

No. 4
Entry from Alexandria via LeMat-Bulk: crystalline VS2O at its relaxed geometry (GGA+U).

Properties
- electronic total energy (eV for the cell shown) = -77.1

```
VS2O
1.0
4.8523 0.0000 0.0000
0.0000 4.8523 0.0000
0.0000 0.0000 12.1145
V S O
4 8 4
Direct
0.0000 0.0000 0.0000
0.0000 0.5000 0.2500
0.5000 0.0000 0.7500
0.5000 0.5000 0.5000
0.2016 0.2500 0.6250
0.2500 0.7016 0.8750
0.2500 0.7984 0.3750
0.2984 0.2500 0.1250
0.7016 0.7500 0.1250
0.7500 0.2016 0.3750
0.7500 0.2984 0.8750
0.7984 0.7500 0.6250
0.0000 0.0000 0.5000
0.0000 0.5000 0.7500
0.5000 0.0000 0.2500
0.5000 0.5000 0.0000
```

No. 5
Entry from Alexandria via LeMat-Bulk: crystalline V2SO at its relaxed geometry (GGA+U).

Properties
- electronic total energy (eV for the cell shown) = -109.0

```
V2SO
1.0
5.0669 0.0000 0.0000
0.0000 5.0669 0.0000
0.0000 0.0000 10.4057
V S O
8 4 4
Direct
0.1823 0.2500 0.1250
0.2500 0.6823 0.3750
0.2500 0.8177 0.8750
0.3177 0.2500 0.6250
0.6823 0.7500 0.6250
0.7500 0.1823 0.8750
0.7500 0.3177 0.3750
0.8177 0.7500 0.1250
0.0000 0.0000 0.5000
0.0000 0.5000 0.7500
0.5000 0.0000 0.2500
0.5000 0.5000 0.0000
0.0000 0.0000 0.0000
0.0000 0.5000 0.2500
0.5000 0.0000 0.7500
0.5000 0.5000 0.5000
```

No. 6
Entry from Alexandria via LeMat-Bulk: crystalline V2SO5 at its relaxed geometry (GGA+U).

Properties
- electronic total energy (eV for the cell shown) = -111.6

```
V2SO5
1.0
-2.8300 2.8300 6.2276
2.8300 -2.8300 6.2276
2.8300 2.8300 -6.2276
V S O
4 2 10
Direct
0.0000 0.0000 0.0000
0.0000 0.0000 0.5000
0.0000 0.5000 0.0000
0.5000 0.0000 0.5000
0.3750 0.6250 0.7500
0.6250 0.3750 0.2500
0.1250 0.8750 0.2500
0.2241 0.6921 0.5320
0.3079 0.3398 0.5320
0.3079 0.7759 0.9680
0.3398 0.3079 0.0320
0.6602 0.6921 0.9680
0.6921 0.2241 0.0320
0.6921 0.6602 0.4680
0.7759 0.3079 0.4680
0.8750 0.1250 0.7500
```

No. 7
Entry from Alexandria via LeMat-Bulk: crystalline V2S2O11 at its relaxed geometry (GGA+U).

Properties
- electronic total energy (eV for the cell shown) = -400.1

```
V2S2O11
1.0
10.1165 0.0000 0.0000
0.0000 9.0984 0.0000
-2.5690 0.0000 9.3192
V S O
8 8 44
Direct
0.1677 0.1305 0.3585
0.1677 0.3695 0.8585
0.3233 0.6261 0.1210
0.3233 0.8739 0.6210
0.6767 0.1261 0.3790
0.6767 0.3739 0.8790
0.8323 0.6305 0.1415
0.8323 0.8695 0.6415
0.0272 0.7135 0.9268
0.0272 0.7865 0.4268
0.3953 0.5731 0.7891
0.3953 0.9269 0.2891
0.6047 0.0731 0.7109
0.6047 0.4269 0.2109
0.9728 0.2135 0.5732
0.9728 0.2865 0.0732
0.0063 0.5711 0.8563
0.0063 0.9289 0.3563
0.0233 0.1615 0.1742
0.0233 0.3385 0.6742
0.0416 0.2289 0.4544
0.0416 0.2711 0.9544
0.1766 0.7456 0.9917
0.1766 0.7544 0.4917
0.2519 0.5101 0.7476
0.2519 0.9899 0.2476
0.2594 0.0385 0.5210
0.2594 0.4615 0.0210
0.2592 0.6070 0.2537
0.2592 0.8930 0.7537
0.2637 0.2310 0.8560
0.2637 0.2690 0.3560
0.4063 0.6735 0.6700
0.4063 0.8265 0.1700
0.4261 0.6481 0.9270
0.4261 0.8519 0.4270
0.4908 0.0515 0.2867
0.4908 0.4485 0.7867
0.5092 0.5515 0.2133
0.5092 0.9485 0.7133
0.5739 0.1481 0.5730
0.5739 0.3519 0.0730
0.5937 0.1735 0.8300
0.5937 0.3265 0.3300
0.7363 0.7310 0.6440
0.7363 0.7690 0.1440
0.7408 0.1070 0.2463
0.7408 0.3930 0.7463
0.7406 0.5385 0.9790
0.7406 0.9615 0.4790
0.7481 0.0101 0.7524
0.7481 0.4899 0.2524
0.8234 0.2456 0.5083
0.8234 0.2544 0.0083
0.9584 0.7289 0.0456
0.9584 0.7711 0.5456
0.9767 0.6615 0.3258
0.9767 0.8385 0.8258
0.9937 0.0711 0.6437
0.9937 0.4289 0.1437
```

No. 8
Entry from Alexandria via LeMat-Bulk: crystalline V3S4O2 at its relaxed geometry (GGA+U).

Properties
- electronic total energy (eV for the cell shown) = -55.1

```
V3S4O2
1.0
3.3656 0.0000 0.0000
-1.6828 2.9147 0.0000
0.0000 0.0000 16.4304
V S O
3 4 2
Direct
0.0000 0.0000 0.0000
0.0000 0.0000 0.3678
0.6667 0.3333 0.7625
0.0000 0.0000 0.6754
0.0000 0.0000 0.8529
0.6667 0.3333 0.2809
0.6667 0.3333 0.4517
0.6667 0.3333 0.0187
0.6667 0.3333 0.1898
```

No. 9
Entry from Alexandria via LeMat-Bulk: crystalline VS2O6 at its relaxed geometry (GGA+U).

Properties
- electronic total energy (eV for the cell shown) = -113.8

```
VS2O6
1.0
3.9626 -3.8679 0.0000
3.9626 3.8679 0.0000
-3.2563 0.0000 9.4702
V S O
2 4 12
Direct
0.1886 0.8114 0.7500
0.8114 0.1886 0.2500
0.0329 0.3920 0.7838
0.3920 0.0329 0.2838
0.6080 0.9671 0.7162
0.9671 0.6080 0.2162
0.1429 0.4464 0.6630
0.1479 0.6406 0.8945
0.1774 0.1796 0.3338
0.1796 0.1774 0.8338
0.3594 0.8521 0.6055
0.4464 0.1429 0.1630
0.5536 0.8571 0.8370
0.6406 0.1479 0.3945
0.8204 0.8226 0.1662
0.8226 0.8204 0.6662
0.8521 0.3594 0.1055
0.8571 0.5536 0.3370
```

No. 10
Entry from Alexandria via LeMat-Bulk: crystalline VSO4 at its relaxed geometry (GGA+U).

Properties
- electronic total energy (eV for the cell shown) = -78.4

```
VSO4
1.0
5.3757 0.0000 0.0000
0.0000 5.3796 0.0000
0.0000 0.0000 7.8063
V S O
2 2 8
Direct
0.0000 0.0000 0.0000
0.5000 0.0000 0.5000
0.0000 0.0000 0.5000
0.0000 0.5000 0.0000
0.1579 0.3271 0.1047
0.1579 0.6729 0.8953
0.1737 0.1531 0.6076
0.1737 0.8469 0.3924
0.8263 0.1531 0.3924
0.8263 0.8469 0.6076
0.8421 0.3271 0.8953
0.8421 0.6729 0.1047
```

No. 11
Entry from Alexandria via LeMat-Bulk: crystalline YVSO2 at its relaxed geometry (GGA+U).

Properties
- electronic total energy (eV for the cell shown) = -35.5

```
YVSO2
1.0
3.7453 0.0000 0.0000
0.0000 3.7453 0.0000
0.0000 0.0000 6.3779
Y V S O
1 1 1 2
Direct
0.0000 0.0000 0.0000
0.0000 0.0000 0.5000
0.5000 0.5000 0.0000
0.0000 0.5000 0.5000
0.5000 0.0000 0.5000
```

No. 12
Entry from Alexandria via LeMat-Bulk: crystalline ZrVS2O at its relaxed geometry (GGA+U).

Properties
- electronic total energy (eV for the cell shown) = -33.9

```
ZrVS2O
1.0
4.8134 0.0000 0.0000
0.0000 4.8134 0.0000
0.0000 0.0000 3.5916
Zr V S O
1 1 2 1
Direct
0.0000 0.0000 0.0000
0.5000 0.5000 0.5000
0.0000 0.5000 0.5000
0.5000 0.0000 0.5000
0.5000 0.5000 0.0000
```